Material: YTe2As
Method: DFT, PBE
State: optimized geometry

Unit cell a=9.580 b=9.580 c=9.580 alpha=25.29 beta=25.29 gamma=25.29
Sites, in units of the cell vectors:
Y 0.500 0.500 0.500
As 0.000 0.000 0.000
Te 0.900 0.900 0.900
Te 0.100 0.100 0.100

***

Material: YTe2As
Method: DFT, PBE
State: optimized geometry

Unit cell a=6.831 b=6.831 c=6.831 alpha=39.98 beta=39.98 gamma=39.98
Sites, in units of the cell vectors:
Y 0.250 0.250 0.250
As 0.750 0.750 0.750
Te 0.004 0.004 0.004
Te 0.496 0.496 0.496

***

Material: YTeAs
Method: DFT, PBE
State: optimized geometry

Unit cell a=4.831 b=4.831 c=4.114 alpha=90.00 beta=90.00 gamma=120.00
Sites, in units of the cell vectors:
Y 0.667 0.333 0.833
As 0.000 0.000 0.834
Te 0.333 0.667 0.333

***

Values for E_form (uncorrected), eV/f.u., ordered as above
-1.792 -1.470 -1.803
Values for density of states at the Fermi level, states/eV per atom, ordered as above
0.388 1.035 0.710